MgGaPd2: relaxed, PBEsol.

Lattice parameters (Å, degrees): 4.367 4.367 4.367 60.00 60.00 60.00
Element x y z (fractional)
Mg 0.500 0.500 0.500
Pd 0.250 0.250 0.250
Pd 0.750 0.750 0.750
Ga 0.000 0.000 0.000

Properties
Crystal system: cubic
Energy of formation from the pure elements (eV per atom): -0.717

---

LaOs2Rh: relaxed, PBEsol.

Lattice parameters (Å, degrees): 2.837 2.837 8.380 90.00 90.00 90.00
Element x y z (fractional)
La 0.500 0.500 0.500
Os 0.000 0.000 0.794
Os 0.000 0.000 0.206
Rh 0.500 0.500 0.000

Properties
Crystal system: tetragonal
Relative energy among the computed polymorphs (eV/atom): 0.2168
Energy of formation from the pure elements (eV per atom): 0.425

---

RbNbN2O: relaxed, PBEsol.

Lattice parameters (Å, degrees): 4.099 4.182 4.182 90.00 90.00 90.00
Site moments in Bohr magnetons follow the coordinates.
Element x y z (fractional)
Nb 0.000 0.000 0.000  -0.26
O 0.500 0.000 0.000  0.22
Rb 0.500 0.500 0.500  0.03
N 0.000 0.000 0.500  0.67
N 0.000 0.500 0.000  0.67

Properties
Raw formation energy (eV per formula unit): -2.82
Crystal system: tetragonal

---

LaYTl: relaxed, PBEsol.

Lattice parameters (Å, degrees): 3.631 3.631 7.300 104.40 104.40 90.01
Element x y z (fractional)
Y 0.316 0.316 0.632
Tl 0.675 0.675 0.349
La 0.009 0.009 0.019

Properties
Crystal system: tetragonal
Energy of formation from the pure elements (eV per atom): -0.268

---

MoPd2Cl: relaxed, PBEsol.

Lattice parameters (Å, degrees): 4.455 4.455 4.455 60.00 60.00 60.00
Site moments in Bohr magnetons follow the coordinates.
Element x y z (fractional)
Mo 0.500 0.500 0.500  0.58
Pd 0.250 0.250 0.250  -0.01
Pd 0.750 0.750 0.750  -0.01
Cl 0.000 0.000 0.000  0.00

Properties
Raw formation energy (eV per formula unit): 2.85
Crystal system: cubic

---

NbGaSnCl2: relaxed, PBEsol.

Lattice parameters (Å, degrees): 4.591 4.591 5.667 90.00 90.00 90.00
Site moments in Bohr magnetons follow the coordinates.
Element x y z (fractional)
Nb 0.000 0.000 0.500  1.36
Sn 0.500 0.500 0.500  -0.02
Ga 0.000 0.000 0.000  0.02
Cl 0.000 0.500 0.000  0.03
Cl 0.500 0.000 0.000  0.03

Properties
Raw formation energy (eV per formula unit): 2.37
Crystal system: tetragonal

---

SrLiMg2: relaxed, PBEsol.

Lattice parameters (Å, degrees): 3.763 3.763 7.900 90.00 90.00 90.00
Element x y z (fractional)
Sr 0.000 0.000 0.504
Mg 0.000 0.000 0.988
Mg 0.500 0.500 0.203
Li 0.500 0.500 0.806

Properties
Crystal system: tetragonal
Relative energy among the computed polymorphs (eV/atom): 0.0242
Energy of formation from the pure elements (eV per atom): 0.003

---

SrGeAs2: relaxed, PBEsol.

Lattice parameters (Å, degrees): 6.479 6.479 6.479 76.09 67.68 112.32
Element x y z (fractional)
Sr 0.000 0.000 0.000
Sr 0.500 0.250 0.250
As 0.075 0.450 0.125
As 0.925 0.800 0.625
As 0.425 0.625 0.450
As 0.575 0.125 0.800
Ge 0.000 0.500 0.500
Ge 0.500 0.750 0.750

Properties
Crystal system: tetragonal
Energy of formation from the pure elements (eV per atom): -0.525

---

Mg2Sb: relaxed, PBEsol.

Lattice parameters (Å, degrees): 4.391 4.391 7.437 84.09 84.09 89.88
Element x y z (fractional)
Sb 0.232 0.232 0.275
Sb 0.768 0.768 0.725
Mg 0.284 0.284 0.663
Mg 0.757 0.243 0.000
Mg 0.716 0.716 0.337
Mg 0.243 0.757 0.000

Properties
Raw formation energy (eV per formula unit): -0.76
Crystal system: monoclinic

---

ZnNi2Sn2: relaxed, PBEsol.

Lattice parameters (Å, degrees): 3.425 3.425 7.857 102.59 102.59 90.00
Element x y z (fractional)
Ni 0.250 0.750 0.500
Ni 0.750 0.250 0.500
Zn 0.000 0.000 0.000
Sn 0.380 0.380 0.760
Sn 0.620 0.620 0.240

Properties
Crystal system: tetragonal
Energy of formation from the pure elements (eV per atom): 0.093

---

ScInTe2: relaxed, PBEsol.

Lattice parameters (Å, degrees): 6.952 6.952 6.952 71.49 70.05 109.95
Element x y z (fractional)
Sc 0.000 0.500 0.500
Sc 0.500 0.750 0.750
Te 0.043 0.418 0.125
Te 0.957 0.832 0.625
Te 0.457 0.625 0.418
Te 0.543 0.125 0.832
In 0.000 0.000 0.000
In 0.500 0.250 0.250

Properties
Raw formation energy (eV per formula unit): -2.25
Crystal system: tetragonal

---

YZn3Co: relaxed, PBEsol.

Lattice parameters (Å, degrees): 5.282 5.282 5.282 90.00 90.00 90.00
Site moments in Bohr magnetons follow the coordinates.
Element x y z (fractional)
Y 0.000 0.000 0.000  -0.10
Zn 0.000 0.500 0.000  -0.01
Zn 0.000 0.000 0.500  -0.01
Zn 0.500 0.000 0.000  -0.01
Co 0.500 0.500 0.500  2.18

Properties
Crystal system: cubic
Energy of formation from the pure elements (eV per atom): 1.670

---

Sm2CdCu2: relaxed, PBEsol.

Lattice parameters (Å, degrees): 3.717 7.532 7.532 90.00 90.00 90.00
Element x y z (fractional)
Cu 0.000 0.881 0.381
Cu 0.000 0.619 0.881
Cu 0.000 0.119 0.619
Cu 0.000 0.381 0.119
Sm 0.500 0.325 0.825
Sm 0.500 0.175 0.325
Sm 0.500 0.825 0.675
Sm 0.500 0.675 0.175
Cd 0.000 0.500 0.500
Cd 0.000 0.000 0.000

Properties
Crystal system: tetragonal
Energy of formation from the pure elements (eV per atom): -0.266

---

Na3FeBi: relaxed, PBEsol.

Lattice parameters (Å, degrees): 5.857 5.857 5.857 90.00 90.00 90.00
Site moments in Bohr magnetons follow the coordinates.
Element x y z (fractional)
Na 0.000 0.500 0.000  0.00
Na 0.000 0.000 0.500  0.00
Na 0.500 0.000 0.000  0.00
Bi 0.000 0.000 0.000  0.21
Fe 0.500 0.500 0.500  3.43

Properties
Crystal system: cubic
Energy of formation from the pure elements (eV per atom): 0.807

---

CaS2I: relaxed, PBEsol.

Lattice parameters (Å, degrees): 4.091 4.091 8.344 75.81 75.81 60.00
Element x y z (fractional)
I 0.000 0.000 0.000
Ca 0.500 0.500 0.500
S 0.894 0.894 0.317
S 0.106 0.106 0.683

Properties
Raw formation energy (eV per formula unit): -3.15
Crystal system: trigonal

---

BeTlIr2: relaxed, PBEsol.

Lattice parameters (Å, degrees): 2.848 3.192 7.033 103.12 101.68 90.00
Element x y z (fractional)
Be 0.795 0.295 0.590
Tl 0.556 0.556 0.113
Ir 0.913 0.913 0.825
Ir 0.236 0.736 0.472

Properties
Crystal system: orthorhombic
Energy of formation from the pure elements (eV per atom): 0.166

---

NbRu2ClF: relaxed, PBEsol.

Lattice parameters (Å, degrees): 3.933 3.933 4.775 90.00 90.00 90.00
Element x y z (fractional)
Ru 0.000 0.500 0.000
Ru 0.500 0.000 0.000
Nb 0.500 0.500 0.500
F 0.000 0.000 0.000
Cl 0.000 0.000 0.500

Properties
Raw formation energy (eV per formula unit): 3.41
Crystal system: tetragonal

---

LaTiPO2: relaxed, PBEsol.

Lattice parameters (Å, degrees): 4.045 4.045 8.313 90.00 90.00 90.00
Site moments in Bohr magnetons follow the coordinates.
Element x y z (fractional)
P 0.500 0.500 0.500  0.15
Ti 0.000 0.000 0.500  -1.12
O 0.000 0.500 0.000  0.00
O 0.500 0.000 0.000  0.00
La 0.000 0.000 0.000  -0.01

Properties
Raw formation energy (eV per formula unit): -3.07
Crystal system: tetragonal

---

TaMo3: relaxed, PBEsol.

Lattice parameters (Å, degrees): 3.155 3.155 12.685 90.00 90.00 90.00
Element x y z (fractional)
Mo 0.000 0.000 0.744
Mo 0.500 0.500 0.623
Mo 0.000 0.000 0.500
Mo 0.500 0.500 0.377
Mo 0.000 0.000 0.256
Mo 0.000 0.000 0.000
Ta 0.500 0.500 0.126
Ta 0.500 0.500 0.874

Properties
Crystal system: tetragonal
Energy of formation from the pure elements (eV per atom): -0.114

---

LiZnHg2: relaxed, PBEsol.

Lattice parameters (Å, degrees): 3.510 4.495 4.495 90.00 90.00 90.00
Element x y z (fractional)
Zn 0.500 0.500 0.124
Hg 0.000 0.000 0.125
Hg 0.000 0.500 0.625
Li 0.500 0.000 0.626

Properties
Crystal system: orthorhombic
Energy of formation from the pure elements (eV per atom): -0.208

---

LiRh3C: relaxed, PBEsol.

Lattice parameters (Å, degrees): 3.971 3.971 3.971 90.00 90.00 90.00
Element x y z (fractional)
C 0.000 0.000 0.000
Rh 0.000 0.500 0.000
Rh 0.000 0.000 0.500
Rh 0.500 0.000 0.000
Li 0.500 0.500 0.500

Properties
Crystal system: cubic
Energy of formation from the pure elements (eV per atom): -0.042

---

NaPCl2: relaxed, PBEsol.

Lattice parameters (Å, degrees): 4.782 4.782 4.782 60.00 60.00 60.00
Element x y z (fractional)
P 0.500 0.500 0.500
Na 0.000 0.000 0.000
Cl 0.250 0.250 0.250
Cl 0.750 0.750 0.750

Properties
Raw formation energy (eV per formula unit): -0.59
Crystal system: cubic

---

H3W: relaxed, PBEsol.

Lattice parameters (Å, degrees): 3.009 3.003 6.442 103.65 90.00 90.00
Element x y z (fractional)
H 0.250 0.415 0.831
H 0.750 0.585 0.169
H 0.250 0.083 0.168
H 0.750 0.917 0.832
H 0.750 0.182 0.354
H 0.250 0.818 0.646
W 0.750 0.321 0.642
W 0.250 0.679 0.358

Properties
Crystal system: monoclinic

---

TcRh2: relaxed, PBEsol.

Lattice parameters (Å, degrees): 2.688 4.288 7.154 90.00 100.83 90.00
Element x y z (fractional)
Rh 0.724 0.750 0.447
Rh 0.946 0.250 0.892
Rh 0.054 0.750 0.108
Rh 0.276 0.250 0.553
Tc 0.387 0.750 0.775
Tc 0.613 0.250 0.225

Properties
Crystal system: orthorhombic
Relative energy among the computed polymorphs (eV/atom): 0.0000
Energy of formation from the pure elements (eV per atom): -0.175

---

AlZn2Os: relaxed, PBEsol.

Lattice parameters (Å, degrees): 2.698 2.698 9.280 90.00 90.00 119.39
Element x y z (fractional)
Zn 0.000 0.000 0.240
Zn 0.000 0.000 0.760
Os 0.500 0.500 0.000
Al 0.500 0.500 0.500

Properties
Crystal system: orthorhombic
Energy of formation from the pure elements (eV per atom): 0.249

---

CaB6: relaxed, PBEsol.

Lattice parameters (Å, degrees): 4.130 4.130 4.130 90.00 90.00 90.00
Element x y z (fractional)
Ca 0.000 0.000 0.000
B 0.201 0.500 0.500
B 0.500 0.500 0.799
B 0.500 0.500 0.201
B 0.500 0.201 0.500
B 0.500 0.799 0.500
B 0.799 0.500 0.500

Properties
Crystal system: cubic
Energy of formation from the pure elements (eV per atom): -0.410

---

Lu2MgSe4: relaxed, PBEsol.

Lattice parameters (Å, degrees): 8.038 8.038 8.038 60.00 60.00 60.00
Element x y z (fractional)
Lu 0.125 0.125 0.625
Lu 0.625 0.125 0.125
Lu 0.125 0.125 0.125
Lu 0.125 0.625 0.125
Mg 0.750 0.750 0.750
Mg 0.500 0.500 0.500
Se 0.369 0.893 0.369
Se 0.881 0.881 0.357
Se 0.881 0.357 0.881
Se 0.893 0.369 0.369
Se 0.369 0.369 0.893
Se 0.881 0.881 0.881
Se 0.357 0.881 0.881
Se 0.369 0.369 0.369

Properties
Raw formation energy (eV per formula unit): -11.68
Crystal system: cubic
Relative energy among the computed polymorphs (eV/atom): 0.0000

---

Mg2CoNi: relaxed, PBEsol.

Lattice parameters (Å, degrees): 2.766 2.766 8.487 80.62 80.62 60.00
Site moments in Bohr magnetons follow the coordinates.
Element x y z (fractional)
Co 0.000 0.000 0.000  1.26
Mg 0.249 0.249 0.252  -0.01
Mg 0.751 0.751 0.748  -0.01
Ni 0.500 0.500 0.500  0.01

Properties
Crystal system: trigonal
Relative energy among the computed polymorphs (eV/atom): 0.1354
Energy of formation from the pure elements (eV per atom): 0.227

---

| no. | total energy (eV per atom) |
| --- | --- |
| 1 | -4.961 |
| 2 | -9.054 |
| 3 | -7.394 |
| 4 | -5.201 |
| 5 | -5.712 |
| 6 | -4.013 |
| 7 | -1.807 |
| 8 | -4.773 |
| 9 | -2.918 |
| 10 | -4.390 |
| 11 | -4.721 |
| 12 | -2.191 |
| 13 | -4.276 |
| 14 | -2.682 |
| 15 | -3.954 |
| 16 | -6.403 |
| 17 | -6.339 |
| 18 | -6.605 |
| 19 | -12.078 |
| 20 | -1.379 |
| 21 | -7.247 |
| 22 | -2.950 |
| 23 | -5.780 |
| 24 | -9.356 |
| 25 | -4.618 |
| 26 | -6.728 |
| 27 | -5.506 |
| 28 | -4.106 |